Computed, not measured: a relaxed HgCl2 crystal at the PBE-GGA level of DFT.

Cell lengths 7.0043, 8.1089, 6.5681 Å; angles 90.00, 90.00, 90.00 degrees
With the nearest neighbours (Å) after each atom.
Element x y z (fractional)
Cl 0.5687 0.8849 0.0097  2 Hg 2.53-2.55
Cl 0.0687 0.6151 0.0097  2 Hg 2.53-2.55
Cl 0.0823 0.1366 0.9870  2 Hg 2.55-2.56
Cl 0.9177 0.8634 0.4870  2 Hg 2.55-2.56
Cl 0.5823 0.3634 0.9870  2 Hg 2.55-2.56
Cl 0.4177 0.6366 0.4870  2 Hg 2.55-2.56
Cl 0.9313 0.3849 0.5097  2 Hg 2.53-2.55
Cl 0.4313 0.1151 0.5097  2 Hg 2.53-2.55
Hg 0.4081 0.6239 0.8761  4 Cl 2.53-2.56
Hg 0.0919 0.1239 0.3761  4 Cl 2.53-2.56
Hg 0.9081 0.8761 0.8761  4 Cl 2.53-2.56
Hg 0.5919 0.3761 0.3761  4 Cl 2.53-2.56

## Properties
Symmetry   Pna2_1
DFT total energy   -1.880 eV per atom